1.
{"formula": "SnGe3Pb", "functional": "SCAN", "state": "PBEsol geometry", "magmom_total_mub_per_fu": 0.000, "energy_ev_per_cell": -164.7, "n_ef_per_ev_cell": 3.21, "formation_energy_ev_per_atom": 0.85, "lattice": [[5.2215, 0.0000, 0.0000], [0.0000, 5.2215, 0.0000], [0.0000, 0.0000, 5.2215]], "species": ["Sn", "Ge", "Ge", "Ge", "Pb"], "fractional_positions": [[0.0000, 0.0000, 0.0000], [0.0000, 0.0000, 0.5000], [0.0000, 0.5000, 0.0000], [0.5000, 0.0000, 0.0000], [0.5000, 0.5000, 0.5000]]}

2.
{"formula": "ReRu2Au", "functional": "SCAN", "state": "PBEsol geometry", "magmom_total_mub_per_fu": 0.000, "energy_ev_per_cell": -208.4, "n_ef_per_ev_cell": 4.28, "relative_energy_mev_per_atom": 246.5, "formation_energy_ev_per_atom": 0.37, "lattice": [[3.9089, 0.0000, 0.0000], [0.0000, 3.9089, 0.0000], [0.0000, 0.0000, 3.7506]], "species": ["Re", "Ru", "Ru", "Au"], "fractional_positions": [[0.0000, 0.0000, 0.0000], [0.0000, 0.5000, 0.5000], [0.5000, 0.0000, 0.5000], [0.5000, 0.5000, 0.0000]]}

3.
{"formula": "Na10B18H6O35", "functional": "SCAN", "state": "PBEsol geometry", "magmom_total_mub_per_fu": 0.127, "energy_ev_per_cell": -578.3, "n_ef_per_ev_cell": 0.00, "lattice": [[6.6696, 0.0000, 0.0000], [1.4060, 9.2586, 0.0000], [2.9458, 0.8656, 11.4451]], "species": ["Na", "Na", "Na", "Na", "Na", "Na", "Na", "Na", "Na", "Na", "B", "B", "B", "B", "B", "B", "B", "B", "B", "B", "B", "B", "B", "B", "B", "B", "B", "B", "H", "H", "H", "H", "H", "H", "O", "O", "O", "O", "O", "O", "O", "O", "O", "O", "O", "O", "O", "O", "O", "O", "O", "O", "O", "O", "O", "O", "O", "O", "O", "O", "O", "O", "O", "O", "O", "O", "O", "O", "O"], "fractional_positions": [[0.0000, 0.0000, 0.0000], [0.0100, 0.3467, 0.5458], [0.1917, 0.0203, 0.3109], [0.2127, 0.3773, 0.8756], [0.3667, 0.7764, 0.8374], [0.3860, 0.6601, 0.3177], [0.6062, 0.2234, 0.1662], [0.6184, 0.1372, 0.7040], [0.8285, 0.7536, 0.5473], [0.8541, 0.6226, 0.0214], [0.0000, 0.0430, 0.5852], [0.0445, 0.3176, 0.1375], [0.1731, 0.0643, 0.7341], [0.2109, 0.3620, 0.2835], [0.2329, 0.5677, 0.6417], [0.2516, 0.5272, 0.1050], [0.3536, 0.7730, 0.0945], [0.3723, 0.9485, 0.5520], [0.4968, 0.9964, 0.0026], [0.5556, 0.5003, 0.5016], [0.5718, 0.5224, 0.7083], [0.6356, 0.8564, 0.1650], [0.6523, 0.9218, 0.3650], [0.7264, 0.3875, 0.8657], [0.8318, 0.4228, 0.3169], [0.8553, 0.6161, 0.7694], [0.9507, 0.8679, 0.7635], [0.9740, 0.8216, 0.2290], [0.3271, 0.1217, 0.8525], [0.4406, 0.3646, 0.3677], [0.5359, 0.1409, 0.3714], [0.6162, 0.1878, 0.9324], [0.8026, 0.0940, 0.4612], [0.9046, 0.2563, 0.0168], [0.0046, 0.4250, 0.3572], [0.0116, 0.2160, 0.0637], [0.0227, 0.5850, 0.6596], [0.0408, 0.1394, 0.6622], [0.0672, 0.9429, 0.8122], [0.1325, 0.4468, 0.0628], [0.1821, 0.2536, 0.2123], [0.1879, 0.8094, 0.2031], [0.1966, 0.9776, 0.5073], [0.2266, 0.1637, 0.8031], [0.3049, 0.6528, 0.0403], [0.3067, 0.4848, 0.2094], [0.3403, 0.5626, 0.7265], [0.3420, 0.5463, 0.5257], [0.3462, 0.2960, 0.3606], [0.3585, 0.8988, 0.0059], [0.3704, 0.9855, 0.6618], [0.5243, 0.1004, 0.9121], [0.5387, 0.8804, 0.2866], [0.5518, 0.7399, 0.1269], [0.5547, 0.8792, 0.4874], [0.6044, 0.3916, 0.7852], [0.6078, 0.9920, 0.0873], [0.6325, 0.4707, 0.3858], [0.6583, 0.6427, 0.7346], [0.6670, 0.4859, 0.5834], [0.6726, 0.0790, 0.3511], [0.7130, 0.2820, 0.9543], [0.8345, 0.3796, 0.2107], [0.8590, 0.1307, 0.5216], [0.8601, 0.4905, 0.8566], [0.8678, 0.8157, 0.1442], [0.8725, 0.8489, 0.3424], [0.8947, 0.7392, 0.8231], [0.8992, 0.9170, 0.6593]]}

4.
{"formula": "Mn2SbAs", "functional": "SCAN", "state": "PBEsol geometry", "magmom_total_mub_per_fu": 0.519, "energy_ev_per_cell": -92.5, "n_ef_per_ev_cell": 3.25, "raw_formation_energy_ev_per_atom": 0.3553, "lattice": [[2.9959, 0.0000, 0.0000], [0.0000, 2.9959, 0.0000], [0.0000, 0.0000, 6.1234]], "species": ["Mn", "Mn", "Sb", "As"], "fractional_positions": [[0.0000, 0.0000, 0.2250], [0.0000, 0.0000, 0.7750], [0.5000, 0.5000, 0.5000], [0.5000, 0.5000, 0.0000]]}

5.
{"formula": "Ag3Te2", "functional": "SCAN", "state": "PBEsol geometry", "magmom_total_mub_per_fu": 0.001, "energy_ev_per_cell": -168.8, "n_ef_per_ev_cell": 2.00, "raw_formation_energy_ev_per_atom": -0.0360, "lattice": [[4.2542, 0.0000, 0.0000], [-2.1271, 3.6842, 0.0000], [0.0000, 0.0000, 7.4441]], "species": ["Ag", "Ag", "Ag", "Te", "Te"], "fractional_positions": [[0.0000, 0.0000, 0.0000], [0.3333, 0.6667, 0.4056], [0.6667, 0.3333, 0.5944], [0.3333, 0.6667, 0.7872], [0.6667, 0.3333, 0.2128]]}

6.
{"formula": "HfTiCoPt2", "functional": "SCAN", "state": "PBEsol geometry", "magmom_total_mub_per_fu": 2.377, "energy_ev_per_cell": -232.2, "n_ef_per_ev_cell": 3.40, "formation_energy_ev_per_atom": 0.85, "lattice": [[4.5407, 0.0000, 0.0000], [0.0000, 4.5407, 0.0000], [0.0000, 0.0000, 4.7349]], "species": ["Hf", "Ti", "Co", "Pt", "Pt"], "fractional_positions": [[0.0000, 0.0000, 0.0000], [0.0000, 0.0000, 0.5000], [0.5000, 0.5000, 0.0000], [0.0000, 0.5000, 0.5000], [0.5000, 0.0000, 0.5000]]}

7.
{"formula": "AgBi2S3Cl", "functional": "SCAN", "state": "PBEsol geometry", "magmom_total_mub_per_fu": 0.000, "energy_ev_per_cell": -456.4, "raw_formation_energy_ev_per_atom": -0.4035, "lattice": [[7.6272, 0.0000, 0.0000], [0.0000, 3.9632, 0.0000], [-2.4648, 0.0000, 10.4226]], "species": ["Ag", "Ag", "Bi", "Bi", "Bi", "Bi", "S", "S", "S", "S", "S", "S", "Cl", "Cl"], "fractional_positions": [[0.0565, 0.2500, 0.4075], [0.9435, 0.7500, 0.5925], [0.1876, 0.2500, 0.9256], [0.4636, 0.7500, 0.6570], [0.5364, 0.2500, 0.3430], [0.8124, 0.7500, 0.0744], [0.0472, 0.2500, 0.1497], [0.1953, 0.2500, 0.6594], [0.3123, 0.7500, 0.4125], [0.6877, 0.2500, 0.5875], [0.8047, 0.7500, 0.3406], [0.9528, 0.7500, 0.8503], [0.4078, 0.7500, 0.1025], [0.5922, 0.2500, 0.8975]]}

8.
{"formula": "TaTc2Ir", "functional": "SCAN", "state": "PBEsol geometry", "magmom_total_mub_per_fu": 0.000, "energy_ev_per_cell": -209.0, "n_ef_per_ev_cell": 4.32, "relative_energy_mev_per_atom": 0.0, "formation_energy_ev_per_atom": -0.30, "lattice": [[-1.9477, 1.9477, 3.9078], [1.9477, -1.9477, 3.9078], [1.9477, 1.9477, -3.9078]], "species": ["Ta", "Tc", "Tc", "Ir"], "fractional_positions": [[0.0000, 0.0000, 0.0000], [0.2500, 0.7500, 0.5000], [0.5000, 0.5000, 0.0000], [0.7500, 0.2500, 0.5000]]}